No. 1
Material: K2LaTa
Method: DFT, PBE
State: relaxed

The structure belongs to space group Cm (No. 8); the cell edges are 10.026, 3.203 and 10.190 Å and the angles 90.00°, 91.97° and 90.00°. The distinct sites, in fractional coordinates, are K at (0.000, 0.000, 0.000), K at (0.237, 0.000, 0.632), La at (0.259, 0.500, 0.275) and Ta at (0.492, 0.000, 0.369).

The formation energy is 3.6 eV/f.u. Its distance to the lowest polymorph of the same formula is 111.6 meV per atom.

No. 2
Material: K2LaTa
Method: DFT, PBE
State: relaxed

The structure belongs to space group P4/mmm (No. 123); the cell edges are 4.600, 4.600 and 6.792 Å and the angles 90.00°, 90.00° and 90.00°. The distinct sites, in fractional coordinates, are K at (0.000, 0.500, 0.000), La at (0.000, 0.000, 0.500) and Ta at (0.500, 0.500, 0.500).

The formation energy is 4.8 eV/f.u. Its distance to the lowest polymorph of the same formula is 389.0 meV per atom.

No. 3
Material: KLaTa
Method: DFT, PBE
State: relaxed

The structure belongs to space group Imm2 (No. 44); the cell edges are 3.132, 4.761 and 13.551 Å and the angles 90.00°, 90.00° and 90.00°. The distinct sites, in fractional coordinates, are K at (0.000, 0.000, 0.000), La at (0.000, 0.000, 0.723) and Ta at (0.000, 0.000, 0.304).

The formation energy is 3.0 eV/f.u. Its distance to the lowest polymorph of the same formula is 184.4 meV per atom.

No. 4
Material: K2LaTa
Method: DFT, PBE
State: relaxed

The structure belongs to space group C2/m (No. 12); the cell edges are 6.522, 14.135 and 3.303 Å and the angles 90.00°, 119.49° and 90.00°. The distinct sites, in fractional coordinates, are K at (0.250, 0.250, 0.000), La at (0.000, 0.000, 0.500) and Ta at (0.000, 0.500, 0.500).

The formation energy is 4.2 eV/f.u. Its distance to the lowest polymorph of the same formula is 250.4 meV per atom.

No. 5
Material: KLa2YTa
Method: DFT, PBE
State: relaxed

The structure belongs to space group P4/mmm (No. 123); the cell edges are 5.393, 5.393 and 5.332 Å and the angles 90.00°, 90.00° and 90.00°. The distinct sites, in fractional coordinates, are K at (0.000, 0.000, 0.000), La at (0.000, 0.500, 0.000), Y at (0.000, 0.000, 0.500) and Ta at (0.500, 0.500, 0.500).

The formation energy is 8.5 eV/f.u. Its distance to the lowest polymorph of the same formula is 709.1 meV per atom.

No. 6
Material: KLa2YTa
Method: DFT, PBE
State: relaxed

The structure belongs to space group P4/mmm (No. 123); the cell edges are 5.666, 5.666 and 6.261 Å and the angles 90.00°, 90.00° and 90.00°. The distinct sites, in fractional coordinates, are K at (0.000, 0.000, 0.000), La at (0.000, 0.500, 0.500), Y at (0.500, 0.500, 0.000) and Ta at (0.000, 0.000, 0.500).

The formation energy is 5.0 eV/f.u. Its distance to the lowest polymorph of the same formula is 0.0 meV per atom.

No. 7
Material: K4LaTb3Te8
Method: DFT, PBE
State: relaxed

The structure belongs to space group R-3m (No. 166, hexagonal axes); the cell edges are 9.1254, 9.1254 and 24.7270 Å and the angles 90.00°, 90.00° and 120.00°. The distinct sites, in fractional coordinates, are K at (0.0000, 0.0000, 0.0000), K at (0.0000, 0.5000, 0.0000), La at (0.0000, 0.0000, 0.5000), Tb at (0.0000, 0.5000, 0.5000), Te at (0.0000, 0.0000, 0.2360) and Te at (0.0090, 0.5045, 0.7627).

The uncorrected formation energy is -137.4 kJ per mole of atoms.

No. 8
Material: K3LaTb2Te6
Method: DFT, PBE
State: relaxed

The structure belongs to space group C2/m (No. 12); the cell edges are 7.932, 13.737 and 8.654 Å and the angles 90.00°, 107.81° and 90.00°. The distinct sites, in fractional coordinates, are K at (0.000, 0.000, 0.000), K at (0.000, 0.336, 0.000), La at (0.000, 0.500, 0.500), Tb at (0.000, 0.167, 0.500), Te at (0.227, 0.000, 0.711) and Te at (0.242, 0.328, 0.711).

The uncorrected formation energy is -138.2 kJ per mole of atoms.

No. 9
Material: K3La3TbTe8
Method: DFT, PBE
State: relaxed

The structure belongs to space group C2/m (No. 12); the cell edges are 16.044, 9.250 and 9.939 Å and the angles 90.00°, 122.62° and 90.00°. The distinct sites, in fractional coordinates, are K at (0.000, 0.000, 0.000), K at (0.250, 0.250, 0.000), La at (0.000, 0.500, 0.500), La at (0.250, 0.250, 0.500), Tb at (0.000, 0.000, 0.500), Te at (0.011, 0.242, 0.291), Te at (0.231, 0.000, 0.709) and Te at (0.239, 0.500, 0.718).

The uncorrected formation energy is -133.1 kJ per mole of atoms.

No. 10
Material: KLa3Tb2Te6
Method: DFT, PBE
State: relaxed

The structure belongs to space group C2/m (No. 12); the cell edges are 19.800, 4.523 and 9.165 Å and the angles 90.00°, 102.88° and 90.00°. The distinct sites, in fractional coordinates, are K at (0.000, 0.000, 0.000), La at (0.000, 0.000, 0.500), La at (0.161, 0.500, 0.825), Tb at (0.169, 0.500, 0.343), Te at (0.008, 0.500, 0.259), Te at (0.169, 0.000, 0.577) and Te at (0.172, 0.000, 0.097).

The uncorrected formation energy is -138.9 kJ per mole of atoms.

No. 11
Material: KLa2TbTe4
Method: DFT, PBE
State: relaxed

The structure belongs to space group P2/m (No. 10); the cell edges are 7.915, 4.550 and 8.036 Å and the angles 90.00°, 108.88° and 90.00°. The distinct sites, in fractional coordinates, are K at (0.000, 0.000, 0.000), La at (0.500, 0.000, 0.500), La at (0.500, 0.500, 0.000), Tb at (0.000, 0.500, 0.500), Te at (0.242, 0.000, 0.738) and Te at (0.253, 0.500, 0.264).

The uncorrected formation energy is -138.2 kJ per mole of atoms.

No. 12
Material: KLaTc2
Method: DFT, PBE
State: relaxed

The structure belongs to space group C2/m (No. 12); the cell edges are 5.680, 10.726 and 2.759 Å and the angles 90.00°, 90.18° and 90.00°. The distinct sites, in fractional coordinates, are K at (0.000, 0.000, 0.000), La at (0.000, 0.500, 0.000) and Tc at (0.250, 0.250, 0.500).

The formation energy is 4.6 eV/f.u. Its distance to the lowest polymorph of the same formula is 756.9 meV per atom.

No. 13
Material: K2LaTc
Method: DFT, PBE
State: relaxed

The structure belongs to space group Pm (No. 6); the cell edges are 3.569, 4.184 and 10.783 Å and the angles 90.00°, 98.12° and 90.00°. The distinct sites, in fractional coordinates, are K at (0.000, 0.000, 0.000), K at (0.370, 0.500, 0.627), La at (0.583, 0.500, 0.301) and Tc at (0.993, 0.000, 0.349).

The formation energy is 2.1 eV/f.u. Its distance to the lowest polymorph of the same formula is 17.3 meV per atom.

No. 14
Material: K2LaTc
Method: DFT, PBE
State: relaxed

The structure belongs to space group P2/m (No. 10); the cell edges are 3.786, 6.750 and 5.020 Å and the angles 90.00°, 97.64° and 90.00°. The distinct sites, in fractional coordinates, are K at (0.230, 0.000, 0.267), La at (0.500, 0.500, 0.000) and Tc at (0.000, 0.500, 0.500).

The formation energy is 3.8 eV/f.u. Its distance to the lowest polymorph of the same formula is 440.6 meV per atom.

No. 15
Material: KLaTc2
Method: DFT, PBE
State: relaxed

The structure belongs to space group Pmmm (No. 47); the cell edges are 3.981, 3.991 and 5.240 Å and the angles 90.00°, 90.00° and 90.00°. The distinct sites, in fractional coordinates, are K at (0.000, 0.000, 0.000), La at (0.500, 0.500, 0.000), Tc at (0.000, 0.500, 0.500) and Tc at (0.500, 0.000, 0.500).

The formation energy is 4.7 eV/f.u. Its distance to the lowest polymorph of the same formula is 779.2 meV per atom.

No. 16
Material: K2LaTc
Method: DFT, PBE
State: relaxed

The structure belongs to space group I-42d (No. 122); the cell edges are 4.376, 4.376 and 27.396 Å and the angles 90.00°, 90.00° and 90.00°. The distinct sites, in fractional coordinates, are K at (0.240, 0.250, 0.125), La at (0.000, 0.000, 0.500) and Tc at (0.000, 0.000, 0.000).

The formation energy is 4.0 eV/f.u. Its distance to the lowest polymorph of the same formula is 483.2 meV per atom.

No. 17
Material: KLa2Tc
Method: DFT, PBE
State: relaxed

The structure belongs to space group P4mm (No. 99); the cell edges are 4.058, 4.058 and 10.010 Å and the angles 90.00°, 90.00° and 90.00°. The distinct sites, in fractional coordinates, are K at (0.000, 0.000, 0.000), La at (0.000, 0.000, 0.608), La at (0.500, 0.500, 0.339) and Tc at (0.500, 0.500, 0.572).

The formation energy is 1.2 eV/f.u. Its distance to the lowest polymorph of the same formula is 163.2 meV per atom.

No. 18
Material: KLaTc2
Method: DFT, PBE
State: relaxed

The structure belongs to space group Pmmm (No. 47); the cell edges are 3.171, 4.963 and 7.505 Å and the angles 90.00°, 90.00° and 90.00°. The distinct sites, in fractional coordinates, are K at (0.000, 0.000, 0.000), La at (0.000, 0.000, 0.500) and Tc at (0.500, 0.500, 0.355).

The formation energy is 3.1 eV/f.u. Its distance to the lowest polymorph of the same formula is 371.4 meV per atom.

No. 19
Material: K2LaTc
Method: DFT, PBE
State: relaxed

The structure belongs to space group R-3m (No. 166, hexagonal axes); the cell edges are 3.4539, 3.4539 and 40.1144 Å and the angles 90.00°, 90.00° and 120.00°. The distinct sites, in fractional coordinates, are K at (0.0000, 0.0000, 0.2379), La at (0.0000, 0.0000, 0.0000) and Tc at (0.0000, 0.0000, 0.5000).

The formation energy is 4.8 eV/f.u. Its distance to the lowest polymorph of the same formula is 694.7 meV per atom.

No. 20
Material: KLaTc
Method: DFT, PBE
State: relaxed

The structure belongs to space group Fmm2 (No. 42); the cell edges are 3.879, 5.665 and 16.765 Å and the angles 90.00°, 90.00° and 90.00°. The distinct sites, in fractional coordinates, are K at (0.000, 0.000, 0.000), La at (0.000, 0.000, 0.264) and Tc at (0.000, 0.000, 0.663).

The formation energy is 2.0 eV/f.u. Its distance to the lowest polymorph of the same formula is 0.0 meV per atom.

no.,spin magnetization (μB per cell)
1,0.0
2,1.8
3,0.0
4,0.0
5,0.3
6,0.0
7,0.0
8,0.0
9,0.0
10,0.0
11,0.0
12,0.0
13,0.0
14,0.9
15,0.0
16,4.9
17,0.0
18,0.0
19,9.7
20,0.0